Compound: LaSc2SiO
Source: Alexandria
Functional: meta-GGA SCAN
Structure: single point on PBEsol structure

a b c (Å): 4.3109 4.3109 5.3036
angles (deg): 90.00 90.00 90.00
With the nearest neighbours (Å) after each atom.
Space group P4/mmm (No. 123)
Asymmetric unit:
La  0.0000  0.0000  0.0000 x1  4 Si 3.05
Sc  0.0000  0.5000  0.5000 x2  2 O 2.16
Si  0.5000  0.5000  0.0000 x1  2 O 2.65
O  0.5000  0.5000  0.5000 x1  4 Sc 2.16

Calculated values
The calculation puts the energy relative to the elements, uncorrected at -5.25 eV/f.u.